A plane-wave DFT calculation with PBE was carried out for an optimized crystal structure of K3CaFe.

a b c (Å): 6.4971 6.4971 6.4971
angles (deg): 90.00 90.00 90.00
Each line ends with the local moment (μB).
Element x y z (fractional)
K1 0.0000 0.5000 0.0000  -0.01
K2 0.0000 0.0000 0.5000  -0.01
K3 0.5000 0.0000 0.0000  -0.01
Ca1 0.5000 0.5000 0.5000  -0.04
Fe1 0.0000 0.0000 0.0000  2.91

## Properties
ΔH_f (0 K): 0.84 eV/atom
relative energy among the computed polymorphs: 0.000 eV/atom

=====

A plane-wave DFT calculation with PBE was carried out for an optimized crystal structure of Th3GeOs.

a b c (Å): 5.5889 4.8560 5.8993
angles (deg): 65.73 102.13 90.00
Element x y z (fractional)
Th1 0.3526 0.3760 0.0988
Th2 0.2563 0.6988 0.4529
Th3 0.8282 0.0733 0.7045
Ge1 0.7102 0.8032 0.2441
Os1 0.3470 0.0328 0.7854

## Properties
ΔH_f (0 K): -0.28 eV/atom
relative energy among the computed polymorphs: 0.005 eV/atom

=====

A plane-wave DFT calculation with PBE was carried out for an optimized crystal structure of La2PSe.

a b c (Å): 3.6635 3.6635 7.3884
angles (deg): 90.00 90.00 90.00
Element x y z (fractional)
La1 0.0000 0.0000 0.7651
La2 0.0000 0.0000 0.2349
P1 0.5000 0.5000 0.0000
Se1 0.5000 0.5000 0.5000

## Properties
relative energy among the computed polymorphs: 0.333 eV/atom
formation energy (no corrections): -1.531 eV per atom

=====

A plane-wave DFT calculation with PBE was carried out for an optimized crystal structure of V2ReMo4.

a b c (Å): 4.5731 5.0878 9.6485
angles (deg): 90.00 103.69 90.00
Element x y z (fractional)
V1 0.5101 0.7500 0.0201
V2 0.4899 0.2500 0.9799
V3 0.1903 0.2500 0.3802
V4 0.8097 0.7500 0.6198
Re1 0.0988 0.7500 0.1974
Re2 0.9012 0.2500 0.8026
Mo1 0.6389 0.5005 0.2776
Mo2 0.9545 0.7500 0.9091
Mo3 0.0455 0.2500 0.0909
Mo4 0.6389 0.9995 0.2776
Mo5 0.7670 0.2500 0.5339
Mo6 0.3611 0.0005 0.7224
Mo7 0.3611 0.4995 0.7224
Mo8 0.2330 0.7500 0.4661

## Properties
ΔH_f (0 K): 0.23 eV/atom
relative energy among the computed polymorphs: 0.000 eV/atom

=====

A plane-wave DFT calculation with PBE was carried out for an optimized crystal structure of Ta2Be2Sb.

a b c (Å): 6.2918 6.2918 3.6470
angles (deg): 90.00 90.00 90.00
Element x y z (fractional)
Sb1 0.0000 0.0000 0.0000
Sb2 0.5000 0.5000 0.0000
Be1 0.3868 0.8868 0.0000
Be2 0.8868 0.6132 0.0000
Be3 0.6132 0.1132 0.0000
Be4 0.1132 0.3868 0.0000
Ta1 0.1749 0.6749 0.5000
Ta2 0.6749 0.8251 0.5000
Ta3 0.8251 0.3251 0.5000
Ta4 0.3251 0.1749 0.5000

## Properties
formation energy (no corrections): 0.007 eV per atom

=====

A plane-wave DFT calculation with PBE was carried out for an optimized crystal structure of CaTc2W.

a b c (Å): 3.1074 4.8649 4.4685
angles (deg): 90.00 90.00 90.00
Element x y z (fractional)
Ca1 0.0000 0.5000 0.5000
Tc1 0.0000 0.0000 0.0000
Tc2 0.5000 0.5000 0.0000
W1 0.5000 0.0000 0.5000

## Properties
ΔH_f (0 K): 0.78 eV/atom
relative energy among the computed polymorphs: 0.485 eV/atom

=====

Calculated volume (Å³/atom), listed in the same order as above: 54.85, 28.40, 24.79, 15.58, 14.44, 16.89